[1]
{
  "formula": "Ce2Ga4CuNi3",
  "functional": "GGA-PBE",
  "state": "relaxed",
  "cell": [[-3.022, -0.732, -2.721], [1.620, -3.716, -0.800], [-5.579, -3.999, 7.273]],
  "species": ["Ga", "Ga", "Ga", "Ga", "Ce", "Ce", "Ni", "Ni", "Ni", "Cu"],
  "fractional_positions": [[0.500, 0.000, 0.628], [0.000, 0.000, 0.000], [0.500, 0.500, 0.000], [0.000, 0.500, 0.372], [0.000, 0.500, 0.752], [0.500, 0.000, 0.248], [0.000, 0.500, 0.133], [0.500, 0.000, 0.867], [0.000, 0.000, 0.500], [0.500, 0.500, 0.500]],
  "formation_energy_ev_per_atom": -0.51,
  "density_kg_m3": 7768
}

[2]
{
  "formula": "ReIrOs2",
  "functional": "GGA-PBE",
  "state": "relaxed",
  "cell": [[-1.409, 2.223, -0.767], [-0.521, -1.167, -2.425], [-6.469, -3.104, 2.883]],
  "species": ["Re", "Os", "Os", "Ir"],
  "fractional_positions": [[0.500, 0.500, 0.250], [0.000, 0.000, 0.499], [0.000, 0.000, 0.001], [0.500, 0.500, 0.750]],
  "e_above_lowest_polymorph_mev_per_atom": 152.8,
  "formation_energy_ev_per_atom": 0.04,
  "density_kg_m3": 21682
}

[3]
{
  "formula": "PuNiCl2",
  "functional": "GGA-PBE",
  "state": "relaxed",
  "cell": [[-0.842, -3.303, -0.881], [2.106, -1.844, -2.136], [4.595, -4.522, 5.530]],
  "species": ["Cl", "Cl", "Ni", "Pu"],
  "fractional_positions": [[0.888, 0.888, 0.335], [0.112, 0.112, 0.665], [0.500, 0.500, 0.500], [0.000, 0.000, 0.000]],
  "formation_energy_uncorrected_ev_per_atom": -0.4050,
  "density_kg_m3": 7008
}

[4]
{
  "formula": "HoGaOs",
  "functional": "GGA-PBE",
  "state": "relaxed",
  "cell": [[3.566, 0.000, 0.000], [0.000, 4.354, 0.000], [0.000, -2.177, 3.771]],
  "species": ["Os", "Ga", "Ho"],
  "fractional_positions": [[0.167, 0.000, 0.000], [0.167, 0.667, 0.333], [0.667, 0.333, 0.667]],
  "formation_energy_ev_per_atom": -0.32,
  "density_kg_m3": 12048
}

[5]
{
  "formula": "Ac2W2N5",
  "functional": "GGA-PBE",
  "state": "relaxed",
  "cell": [[-1.088, -2.782, -2.965], [2.742, -2.785, 4.594], [-5.917, 0.769, 1.450]],
  "species": ["Ac", "Ac", "N", "N", "N", "N", "N", "W", "W"],
  "fractional_positions": [[0.599, 0.198, 0.320], [0.401, 0.802, 0.680], [0.348, 0.696, 0.087], [0.000, 0.000, 0.000], [0.159, 0.318, 0.591], [0.841, 0.682, 0.409], [0.652, 0.304, 0.913], [0.839, 0.678, 0.101], [0.161, 0.322, 0.899]],
  "formation_energy_uncorrected_ev_per_atom": -0.8165,
  "e_above_lowest_polymorph_mev_per_atom": 172.0,
  "density_kg_m3": 10767
}

[6]
{
  "formula": "TiGa2I",
  "functional": "GGA-PBE",
  "state": "relaxed",
  "cell": [[4.041, 0.000, 0.000], [0.000, 4.041, 0.000], [2.020, 2.020, 10.908]],
  "species": ["Ti", "Ti", "Ga", "Ga", "Ga", "Ga", "I", "I"],
  "fractional_positions": [[0.500, 0.500, 0.000], [0.250, 0.750, 0.500], [0.150, 0.625, 0.250], [0.600, 0.125, 0.250], [0.375, 0.400, 0.750], [0.875, 0.850, 0.750], [0.000, 0.000, 0.000], [0.750, 0.250, 0.500]],
  "formation_energy_uncorrected_ev_per_atom": 0.2692,
  "e_above_lowest_polymorph_mev_per_atom": 0.0,
  "density_kg_m3": 5859
}

[7]
{
  "formula": "LiMg2OsN4",
  "functional": "GGA-PBE",
  "state": "relaxed",
  "cell": [[-1.986, 0.551, 4.915], [5.005, -1.763, 2.220], [2.204, 6.464, 0.165]],
  "species": ["Li", "Li", "Mg", "Mg", "Mg", "Mg", "N", "N", "N", "N", "N", "N", "N", "N", "Os", "Os"],
  "fractional_positions": [[0.991, 0.159, 0.500], [0.491, 0.841, 0.000], [0.494, 0.326, 0.252], [0.994, 0.674, 0.248], [0.494, 0.326, 0.748], [0.994, 0.674, 0.752], [0.389, 0.678, 0.279], [0.900, 0.867, 0.000], [0.389, 0.678, 0.721], [0.889, 0.322, 0.221], [0.844, 0.817, 0.500], [0.344, 0.183, 0.000], [0.400, 0.133, 0.500], [0.889, 0.322, 0.779], [0.000, 0.172, 0.000], [0.500, 0.828, 0.500]],
  "formation_energy_uncorrected_ev_per_atom": -0.3346,
  "density_kg_m3": 4786
}

[8]
{
  "formula": "CaTl2VBr",
  "functional": "GGA-PBE",
  "state": "relaxed",
  "cell": [[6.146, 0.000, 0.000], [0.000, 5.287, 0.000], [0.000, 0.000, 6.146]],
  "species": ["Tl", "Tl", "Ca", "V", "Br"],
  "fractional_positions": [[0.000, 0.000, 0.500], [0.500, 0.000, 0.000], [0.000, 0.000, 0.000], [0.500, 0.500, 0.500], [0.000, 0.500, 0.000]],
  "formation_energy_uncorrected_ev_per_atom": 0.8508,
  "density_kg_m3": 4819
}

[9]
{
  "formula": "ErAl4Rh",
  "functional": "GGA-PBE",
  "state": "relaxed",
  "cell": [[-5.035, 3.204, -2.588], [-2.909, -5.662, -1.339], [-6.486, -1.124, 3.058]],
  "species": ["Al", "Al", "Al", "Al", "Al", "Al", "Al", "Al", "Er", "Er", "Rh", "Rh"],
  "fractional_positions": [[0.312, 0.514, 0.674], [0.514, 0.014, 0.674], [0.812, 0.312, 0.674], [0.486, 0.986, 0.326], [0.188, 0.688, 0.326], [0.688, 0.486, 0.326], [0.014, 0.812, 0.674], [0.986, 0.188, 0.326], [0.000, 0.000, 0.000], [0.500, 0.500, 0.000], [0.250, 0.250, 0.500], [0.750, 0.750, 0.500]],
  "formation_energy_ev_per_atom": -0.39,
  "density_kg_m3": 5283
}

[10]
{
  "formula": "HoLuCdNi",
  "functional": "GGA-PBE",
  "state": "relaxed",
  "cell": [[4.989, 0.000, 0.000], [2.495, 4.321, 0.000], [2.495, 1.440, 4.074]],
  "species": ["Ni", "Cd", "Ho", "Lu"],
  "fractional_positions": [[0.250, 0.250, 0.250], [0.750, 0.750, 0.750], [0.000, 0.000, 0.000], [0.500, 0.500, 0.500]],
  "formation_energy_ev_per_atom": -0.28,
  "density_kg_m3": 9663
}

[11]
{
  "formula": "Sm8CoIr3Br4",
  "functional": "GGA-PBE",
  "state": "relaxed",
  "cell": [[-5.539, -0.927, 5.927], [-6.297, -1.944, -6.188], [6.750, -4.593, -0.035]],
  "species": ["Sm", "Sm", "Sm", "Sm", "Sm", "Sm", "Sm", "Sm", "Ir", "Ir", "Ir", "Br", "Br", "Br", "Br", "Co"],
  "fractional_positions": [[0.261, 0.308, 0.034], [0.226, 0.692, 0.966], [0.739, 0.692, 0.966], [0.268, 0.305, 0.536], [0.732, 0.695, 0.464], [0.774, 0.308, 0.034], [0.774, 0.308, 0.547], [0.226, 0.692, 0.453], [0.500, 0.500, 0.500], [0.500, 0.500, 0.000], [0.000, 0.500, 0.500], [0.000, 0.000, 0.500], [0.500, 0.000, 0.500], [0.500, 0.000, 0.000], [0.000, 0.000, 0.000], [0.000, 0.500, 0.000]],
  "formation_energy_uncorrected_ev_per_atom": -1.0069,
  "density_kg_m3": 8049
}

[12]
{
  "formula": "Pm2HoTl",
  "functional": "GGA-PBE",
  "state": "relaxed",
  "cell": [[5.556, 0.000, 0.000], [2.778, 4.812, 0.000], [2.778, 1.604, 4.536]],
  "species": ["Pm", "Pm", "Ho", "Tl"],
  "fractional_positions": [[0.750, 0.750, 0.750], [0.250, 0.250, 0.250], [0.000, 0.000, 0.000], [0.500, 0.500, 0.500]],
  "e_above_lowest_polymorph_mev_per_atom": 128.9,
  "formation_energy_ev_per_atom": -0.06,
  "density_kg_m3": 9027
}

Number 1: E -5.0499 eV/atom. Number 2: E -10.9035 eV/atom. Number 3: E -6.3566 eV/atom. Number 4: E -6.5932 eV/atom. Number 5: E -9.2331 eV/atom. Number 6: E -3.6055 eV/atom. Number 7: E -6.5389 eV/atom. Number 8: E -2.6544 eV/atom. Number 9: E -4.8723 eV/atom. Number 10: E -4.2327 eV/atom. Number 11: E -5.8903 eV/atom. Number 12: E -4.1745 eV/atom.